No. 1
Entry from the Alexandria database: AgPCl at its PBEsol-relaxed geometry (SCAN).

Cell: 3.1204 3.1204 10.8117 Å, 90.00 90.00 90.00°
With the nearest neighbours (Å) after each atom.
Positions (direct):
Ag 0.0000 0.0000 0.0000  4 P 2.62, 4 Cl 2.94
Ag 0.5000 0.5000 0.5000  4 P 2.62, 4 Cl 2.94
P 0.0000 0.0000 0.3691  4 Ag 2.62
P 0.5000 0.5000 0.8691  4 Ag 2.62
Cl 0.0000 0.0000 0.6791  4 Ag 2.94, 4 P 3.01, 4 Cl 3.12
Cl 0.5000 0.5000 0.1791  4 Ag 2.94, 4 P 3.01, 4 Cl 3.12

* space-group type: I4mm
* raw formation energy: 0.3791 eV per atom
* E_tot: -97.21 eV per cell
* energy above the most stable polymorph in this dataset: 0.000 eV per atom
* N(E_F): 0.58 states/eV/atom

No. 2
Entry from the Alexandria database: NbCrSb2I at its PBEsol-relaxed geometry (SCAN).

Cell: 4.9361 4.9361 5.3759 Å, 90.00 90.00 90.00°
With the nearest neighbours (Å) after each atom.
Positions (direct):
Nb 0.0000 0.0000 0.0000  4 I 3.49, 8 Sb 3.65
Cr 0.5000 0.5000 0.5000  4 Sb 2.47, 2 I 2.69
Sb 0.0000 0.5000 0.5000  2 Cr 2.47
Sb 0.5000 0.0000 0.5000  2 Cr 2.47
I 0.5000 0.5000 0.0000  2 Cr 2.69

* space-group type: P4/mmm
* raw formation energy: 0.8229 eV per atom
* E_tot: -158.66 eV per cell
* N(E_F): 0.52 states/eV/atom

No. 3
Entry from the Alexandria database: YOsRu2 at its PBEsol-relaxed geometry (SCAN).

Cell: 4.1794 4.1794 7.2666 Å, 90.00 90.00 90.00°
With the nearest neighbours (Å) after each atom.
Positions (direct):
Y 0.0000 0.0000 0.0000  8 Ru 2.77, 4 Os 2.96
Y 0.5000 0.5000 0.5000  8 Ru 2.77, 4 Os 2.96
Os 0.0000 0.0000 0.5000  8 Ru 2.77, 4 Y 2.96
Os 0.5000 0.5000 0.0000  8 Ru 2.77, 4 Y 2.96
Ru 0.0000 0.5000 0.2500  4 Y 2.77, 4 Os 2.77, 4 Ru 2.96
Ru 0.0000 0.5000 0.7500  4 Os 2.77, 4 Y 2.77, 4 Ru 2.96
Ru 0.5000 0.0000 0.2500  4 Y 2.77, 4 Os 2.77, 4 Ru 2.96
Ru 0.5000 0.0000 0.7500  4 Os 2.77, 4 Y 2.77, 4 Ru 2.96

* space-group type: I4/mmm
* formation enthalpy at 0 K: 0.282 eV/atom
* E_tot: -336.50 eV per cell
* energy above the most stable polymorph in this dataset: 0.078 eV per atom
* N(E_F): 1.60 states/eV/atom

Question: N(E_F) of number 1 (AgPCl)?
Answer: 0.58 states/eV/atom